# ZnAs2Au2

Crystalline ZnAs2Au2 at its relaxed geometry (PBE, Alexandria via LeMat-Bulk).

CIF file:
```
data_ZnAs2Au2
_cell_length_a 7.119
_cell_length_b 7.119
_cell_length_c 3.901
_cell_angle_alpha 90.00
_cell_angle_beta 90.00
_cell_angle_gamma 90.00
_space_group_name_H-M_alt 'P 1'
_space_group_IT_number 1
loop_
_space_group_symop_operation_xyz
'x,y,z'
loop_
_atom_site_label
_atom_site_type_symbol
_atom_site_fract_x
_atom_site_fract_y
_atom_site_fract_z
Zn1 Zn 0.000 0.000 0.000
Zn2 Zn 0.500 0.500 0.000
As1 As 0.176 0.324 0.000
As2 As 0.324 0.824 0.000
As3 As 0.676 0.176 0.000
As4 As 0.824 0.676 0.000
Au1 Au 0.141 0.641 0.500
Au2 Au 0.359 0.141 0.500
Au3 Au 0.641 0.859 0.500
Au4 Au 0.859 0.359 0.500
```

Properties
formation energy from the elements: 0.97 eV per formula unit
SG: P4/mbm
size of the total moment: 0.000 μB per cell
excess energy over the best structure of this formula in the dataset: 0.000 eV per atom
volume: 19.8 Å³ per atom